This record from Alexandria via LeMat-Bulk describes a relaxed Cd2WCl crystal. The functional is PBE.

Relative energy among the computed polymorphs ... 269 meV per atom
Final energy ... -3.75 eV per atom

Cell: 2.934 2.934 10.005 Å, 90.00 90.00 90.00°
Positions (direct):
Cl 0.000 0.000 0.584
W 0.500 0.500 0.742
Cd 0.000 0.000 0.956
Cd 0.500 0.500 0.218

---

This record from Alexandria via LeMat-Bulk describes a relaxed NbSeN3 crystal. The functional is PBE.

Final energy ... -6.29 eV per atom

Cell: 3.744 3.744 3.744 Å, 90.00 90.00 90.00°
Positions (direct):
Nb 0.500 0.500 0.500
Se 0.000 0.000 0.000
N 0.000 0.500 0.000
N 0.000 0.000 0.500
N 0.500 0.000 0.000

---

This record from Alexandria via LeMat-Bulk describes a relaxed BaLaZnPd crystal. The functional is PBE.

Formation enthalpy at 0 K ... -319 meV/atom
Final energy ... -3.65 eV per atom

Cell: 5.433 5.433 5.433 Å, 60.00 60.00 60.00°
Positions (direct):
Zn 0.000 0.000 0.000
Ba 0.250 0.250 0.250
Pd 0.500 0.500 0.500
La 0.750 0.750 0.750

---

This record from Alexandria via LeMat-Bulk describes a relaxed Sr2ZnInSb crystal. The functional is PBE.

Final energy ... -2.37 eV per atom

Cell: 6.234 4.859 6.234 Å, 90.00 90.00 90.00°
Positions (direct):
Sb 0.500 0.500 0.500
Zn 0.000 0.500 0.000
Sr 0.000 0.000 0.500
Sr 0.500 0.000 0.000
In 0.000 0.000 0.000

---

This record from Alexandria via LeMat-Bulk describes a relaxed AcHo2Sc crystal. The functional is PBE.

Formation enthalpy at 0 K ... 94 meV/atom
Relative energy among the computed polymorphs ... 0 meV per atom
Final energy ... -4.81 eV per atom

Cell: 3.915 3.915 8.634 Å, 90.00 90.00 90.00°
Positions (direct):
Sc 0.500 0.500 0.000
Ac 0.500 0.500 0.500
Ho 0.000 0.000 0.794
Ho 0.000 0.000 0.206

---

This record from Alexandria via LeMat-Bulk describes a relaxed PmHoLuHg crystal. The functional is PBE.

Formation enthalpy at 0 K ... -70 meV/atom
Final energy ... -3.61 eV per atom

Cell: 5.415 5.415 5.415 Å, 60.00 60.00 60.00°
Positions (direct):
Lu 0.750 0.750 0.750
Pm 0.500 0.500 0.500
Hg 0.250 0.250 0.250
Ho 0.000 0.000 0.000

---

This record from Alexandria via LeMat-Bulk describes a relaxed Y2AlGe4Pt3 crystal. The functional is PBE.

Formation enthalpy at 0 K ... -833 meV/atom
Final energy ... -6.16 eV per atom

Cell: 4.067 4.067 11.296 Å, 90.00 90.00 90.00°
Positions (direct):
Y 0.500 0.000 0.256
Y 0.000 0.500 0.744
Al 0.500 0.500 0.500
Ge 0.500 0.500 0.000
Ge 0.000 0.000 0.000
Ge 0.500 0.000 0.644
Ge 0.000 0.500 0.356
Pt 0.000 0.000 0.500
Pt 0.500 0.000 0.860
Pt 0.000 0.500 0.140

---

This record from Alexandria via LeMat-Bulk describes a relaxed TaP4Cl crystal. The functional is PBE.

Final energy ... -5.31 eV per atom

Cell: 5.105 5.105 5.105 Å, 60.00 60.00 60.00°
Positions (direct):
Ta 0.250 0.250 0.250
P 0.619 0.619 0.144
P 0.619 0.144 0.619
P 0.619 0.619 0.619
P 0.144 0.619 0.619
Cl 0.000 0.000 0.000

---

This record from Alexandria via LeMat-Bulk describes a relaxed TcNi8 crystal. The functional is PBE.

Formation enthalpy at 0 K ... 14 meV/atom
Final energy ... -6.28 eV per atom

Cell: 3.578 5.607 5.607 Å, 95.84 108.61 71.39°
Positions (direct):
Ni 0.666 0.000 0.331
Ni 0.334 0.000 0.669
Ni 0.000 0.333 0.333
Ni 0.334 0.331 0.000
Ni 0.667 0.333 0.667
Ni 0.666 0.669 0.000
Ni 0.000 0.667 0.667
Ni 0.333 0.667 0.333
Tc 0.000 0.000 0.000

---

This record from Alexandria via LeMat-Bulk describes a relaxed NdMgB14 crystal. The functional is PBE.

Formation enthalpy at 0 K ... -204 meV/atom
Final energy ... -6.44 eV per atom

Cell: 5.938 7.436 7.436 Å, 68.31 66.47 66.47°
Positions (direct):
Nd 0.250 0.389 0.111
Nd 0.750 0.611 0.889
Mg 0.500 0.000 0.500
Mg 0.000 0.000 0.500
B 0.666 0.363 0.304
B 0.334 0.637 0.696
B 0.166 0.804 0.863
B 0.834 0.196 0.137
B 0.131 0.240 0.498
B 0.869 0.760 0.502
B 0.631 0.998 0.740
B 0.369 0.002 0.260
B 0.083 0.086 0.748
B 0.917 0.914 0.252
B 0.583 0.248 0.586
B 0.417 0.752 0.414
B 0.719 0.600 0.280
B 0.600 0.400 0.720
B 0.219 0.780 0.100
B 0.100 0.220 0.900
B 0.281 0.400 0.720
B 0.400 0.600 0.280
B 0.781 0.220 0.900
B 0.900 0.780 0.100
B 0.324 0.971 0.877
B 0.172 0.029 0.123
B 0.824 0.377 0.471
B 0.672 0.623 0.529
B 0.676 0.029 0.123
B 0.828 0.971 0.877
B 0.176 0.623 0.529
B 0.328 0.377 0.471

---

This record from Alexandria via LeMat-Bulk describes a relaxed SmCdSb crystal. The functional is PBE.

Relative energy among the computed polymorphs ... 0 meV per atom
Final energy ... -3.85 eV per atom

Cell: 4.667 4.665 9.115 Å, 90.00 90.02 60.01°
Positions (direct):
Sb 0.856 0.992 0.307
Sb 0.523 0.659 0.922
Sm 0.523 0.659 0.496
Sm 0.189 0.326 0.126
Cd 0.190 0.325 0.672
Cd 0.856 0.992 0.776

---

This record from Alexandria via LeMat-Bulk describes a relaxed AcPm5Au4 crystal. The functional is PBE.

Formation enthalpy at 0 K ... -623 meV/atom
Final energy ... -4.72 eV per atom

Cell: 3.695 3.695 20.386 Å, 90.00 90.00 90.00°
Positions (direct):
Ac 0.000 0.000 0.000
Pm 0.500 0.500 0.138
Pm 0.500 0.500 0.318
Pm 0.500 0.500 0.500
Pm 0.500 0.500 0.682
Pm 0.500 0.500 0.862
Au 0.000 0.000 0.226
Au 0.000 0.000 0.408
Au 0.000 0.000 0.592
Au 0.000 0.000 0.774

---

> Among the records above, which one has the highest final energy?

Sr2ZnInSb